{
  "formula": "BeCdBIrAu",
  "functional": "PBE",
  "state": "relaxed",
  "cell": [[3.399, 0.000, 0.000], [0.014, 4.691, 0.000], [1.690, 1.954, 4.537]],
  "species": ["Be", "Cd", "B", "Ir", "Au"],
  "fractional_positions": [[0.000, 0.000, 0.000], [0.721, 0.388, 0.559], [0.476, 0.710, 0.049], [0.024, 0.530, 0.953], [0.325, 0.994, 0.349]],
  "m_tot_mub_per_atom": 0.000,
  "e_tot_ev_per_atom": -4.6757,
  "e_above_lowest_polymorph_ev_per_atom": 0.1418,
  "formation_energy_mev_per_atom": 16
}